(1)
Zr2MoRu at its PBEsol-relaxed geometry. Source: Alexandria via LeMat-Bulk, functional meta-GGA SCAN.

The calculation puts the magnetization at 0.000 μB per atom. The energy of formation from the pure elements is -1.45 eV per formula unit.

The space group is P4/mmm (No. 123) and the conventional cell measures 3.247, 3.247 and 6.598 Å, with angles of 90.00, 90.00 and 90.00 degrees. Symmetry generates all atoms from Zr at (0.000, 0.000, 0.246), Mo at (0.500, 0.500, 0.500) and Ru at (0.500, 0.500, 0.000).



(2)
Zr2MoRu at its PBEsol-relaxed geometry. Source: Alexandria via LeMat-Bulk, functional meta-GGA SCAN.

The calculation puts the magnetization at 0.000 μB per atom. The energy of formation from the pure elements is -0.41 eV per formula unit.

The space group is Immm (No. 71) and the conventional cell measures 3.249, 4.889 and 8.716 Å, with angles of 90.00, 90.00 and 90.00 degrees. Symmetry generates all atoms from Zr at (0.000, 0.000, 0.247), Mo at (0.000, 0.500, 0.000) and Ru at (0.000, 0.500, 0.500).